DFT (GGA-PBE) results for a relaxed structure of Li2Pr2In5Ag.

a b c (Å): 10.2136 10.2136 4.4430
angles (deg): 90.00 90.00 90.00
Space group P4/mbm (No. 127)
Unique sites:
Li (0.1107, 0.3893, 0.0000)
Pr (0.1831, 0.6831, 0.0000)
In (0.0000, 0.5000, 0.5000)
In (0.0600, 0.2035, 0.5000)
Ag (0.0000, 0.0000, 0.0000)

Computed properties:
The uncorrected energy is -3.332 eV/atom. As for the crystal system: tetragonal.